# 1
A relaxed Ac2HgAu crystal, computed with PBE.

a = 7.9540 Å, b = 7.9540 Å, c = 7.9540 Å
α = 90.00°, β = 90.00°, γ = 90.00°
Last column: nearest neighbours and their distance in Å.
Space group Fm-3m (No. 225)
Inequivalent atoms, fractional coordinates:
1 Ac 0.2500 0.2500 0.2500  4 Hg 3.44, 4 Au 3.44
2 Hg 0.0000 0.0000 0.0000  8 Ac 3.44
3 Au 0.0000 0.0000 0.5000  8 Ac 3.44

Values from the calculation:
E above lowest polymorph   4.8 kJ/mol of formula units
V   31.45 Å³ per atom
Total magnetization   0.00 μB/atom
ΔE_f   -621 meV per atom

# 2
A relaxed MnIn2Co crystal, computed with PBE.

a = 4.3162 Å, b = 4.3162 Å, c = 3.5385 Å
α = 90.00°, β = 90.00°, γ = 90.00°
Last column: nearest neighbours and their distance in Å.
Space group P4/mmm (No. 123)
Inequivalent atoms, fractional coordinates:
1 Mn 0.0000 0.0000 0.0000  8 In 2.79, 4 Co 3.05
2 In 0.0000 0.5000 0.5000  4 Co 2.79, 4 Mn 2.79, 4 In 3.05
3 Co 0.5000 0.5000 0.0000  8 In 2.79, 4 Mn 3.05

Values from the calculation:
V   16.48 Å³ per atom
Total magnetization   0.59 μB/atom
ΔE_f   225 meV per atom

# 3
A relaxed KHgH3 crystal, computed with PBE.

a = 4.0916 Å, b = 4.0916 Å, c = 4.0916 Å
α = 90.00°, β = 90.00°, γ = 90.00°
Last column: nearest neighbours and their distance in Å.
Space group Pm-3m (No. 221)
Inequivalent atoms, fractional coordinates:
1 K 0.0000 0.0000 0.0000  12 H 2.89
2 Hg 0.5000 0.5000 0.5000  6 H 2.05
3 H 0.0000 0.5000 0.5000  2 Hg 2.05

Values from the calculation:
E above lowest polymorph   33.1 kJ/mol of formula units
V   13.70 Å³ per atom
Total magnetization   0.00 μB/atom

# 4
A relaxed Li5Os3 crystal, computed with PBE.

a = 5.3211 Å, b = 9.1976 Å, c = 4.3751 Å
α = 90.00°, β = 90.00°, γ = 90.00°
Last column: nearest neighbours and their distance in Å.
Space group Cmmm (No. 65)
Inequivalent atoms, fractional coordinates:
1 Li 0.0000 0.0000 0.0000  6 Os 2.51-2.66, 4 Li 2.66
2 Li 0.0000 0.2570 0.5000  6 Li 2.56-2.66, 4 Os 2.66
3 Li 0.2500 0.2500 0.0000  8 Li 2.56-2.66, 2 Os 2.66
4 Os 0.0000 0.5000 0.0000  4 Os 2.62, 6 Li 2.66
5 Os 0.2305 0.0000 0.5000  3 Os 2.45-2.62, 6 Li 2.51-2.66

Values from the calculation:
E above lowest polymorph   0.0 kJ/mol of formula units
V   13.38 Å³ per atom
Total magnetization   0.00 μB/atom
ΔE_f   163 meV per atom

# 5
A relaxed Cs2Tl3Cd4In crystal, computed with PBE.

a = 5.2107 Å, b = 5.2107 Å, c = 12.9210 Å
α = 90.00°, β = 90.00°, γ = 90.00°
Last column: nearest neighbours and their distance in Å.
Space group P-4m2 (No. 115)
Inequivalent atoms, fractional coordinates:
1 Cs 0.0000 0.5000 0.2492  8 Cd 4.01-4.14, 6 Tl 4.01-4.16, 2 In 4.16
2 Tl 0.0000 0.5000 0.8735  5 Cd 3.08-3.17
3 Tl 0.5000 0.5000 0.5000  4 Cd 3.09
4 Cd 0.0000 0.0000 0.0000  4 Tl 3.08
5 Cd 0.0000 0.5000 0.6282  3 Tl 3.09-3.17, 2 In 3.09
6 Cd 0.5000 0.5000 0.0000  4 Tl 3.08
7 In 0.0000 0.0000 0.5000  4 Cd 3.09

Values from the calculation:
V   35.08 Å³ per atom
Total magnetization   0.00 μB/atom
ΔE_f   -40 meV per atom

# 6
A relaxed ZnCo2B crystal, computed with PBE.

a = 5.3842 Å, b = 5.3842 Å, c = 5.3842 Å
α = 90.00°, β = 90.00°, γ = 90.00°
Last column: nearest neighbours and their distance in Å.
Space group Fm-3m (No. 225)
Inequivalent atoms, fractional coordinates:
1 Zn 0.0000 0.0000 0.0000  8 Co 2.33
2 Co 0.2500 0.2500 0.2500  4 B 2.33, 4 Zn 2.33
3 B 0.0000 0.0000 0.5000  8 Co 2.33

Values from the calculation:
E above lowest polymorph   141.3 kJ/mol of formula units
V   9.76 Å³ per atom
Total magnetization   0.00 μB/atom
ΔE_f   164 meV per atom

# 7
A relaxed CsY2BBr crystal, computed with PBE.

a = 5.8245 Å, b = 5.8245 Å, c = 4.6368 Å
α = 90.00°, β = 90.00°, γ = 90.00°
Last column: nearest neighbours and their distance in Å.
Space group P4/mmm (No. 123)
Inequivalent atoms, fractional coordinates:
1 Cs 0.0000 0.0000 0.0000  2 B 2.32
2 Y 0.0000 0.5000 0.0000  2 Cs 2.91
3 B 0.0000 0.0000 0.5000  2 Cs 2.32
4 Br 0.5000 0.5000 0.5000  8 Y 3.72, 4 B 4.12

Values from the calculation:
Raw formation energy   1598 meV/atom
V   31.46 Å³ per atom
Total magnetization   0.00 μB/atom

# 8
A relaxed Tb2PrHo2Tm2 crystal, computed with PBE.

a = 17.5869 Å, b = 3.4880 Å, c = 8.3468 Å
α = 90.00°, β = 116.67°, γ = 90.00°
Last column: nearest neighbours and their distance in Å.
Space group C2/m (No. 12)
Inequivalent atoms, fractional coordinates:
1 Tb 0.0724 0.0000 0.4137  3 Tb 3.44-3.49, 3 Ho 3.47-3.48, 2 Pr 3.56, 2 Tm 3.59
2 Pr 0.0000 0.5000 0.0000  2 Ho 3.42, 2 Pr 3.49, 4 Tb 3.56, 4 Tm 3.60
3 Ho 0.2116 0.5000 0.2970  1 Pr 3.42, 3 Tm 3.44-3.52, 3 Tb 3.47-3.48, 4 Ho 3.49-3.50
4 Tm 0.1502 0.0000 0.8918  3 Ho 3.44-3.52, 4 Tm 3.49-3.60, 2 Tb 3.59, 2 Pr 3.60

Values from the calculation:
V   32.68 Å³ per atom
Total magnetization   0.00 μB/atom
ΔE_f   151 meV per atom

# 9
A relaxed Cs3InAs crystal, computed with PBE.

a = 7.0356 Å, b = 7.0356 Å, c = 7.0356 Å
α = 90.00°, β = 90.00°, γ = 90.00°
Last column: nearest neighbours and their distance in Å.
Space group Pm-3m (No. 221)
Inequivalent atoms, fractional coordinates:
1 Cs 0.0000 0.0000 0.5000  2 As 3.52
2 In 0.5000 0.5000 0.5000  12 Cs 4.97
3 As 0.0000 0.0000 0.0000  6 Cs 3.52

Values from the calculation:
E above lowest polymorph   159.4 kJ/mol of formula units
V   69.65 Å³ per atom
Total magnetization   0.49 μB/atom
ΔE_f   124 meV per atom

# 10
A relaxed Sr4BiO7 crystal, computed with PBE.

a = 7.1400 Å, b = 6.1504 Å, c = 9.3111 Å
α = 90.00°, β = 99.58°, γ = 90.00°
Last column: nearest neighbours and their distance in Å.
Space group P2_1 (No. 4)
Inequivalent atoms, fractional coordinates:
1 Sr 0.0044 0.0000 0.3784  5 O 2.51-2.70
2 Sr 0.1166 0.5438 0.0784  5 O 2.37-2.62
3 Sr 0.4027 0.4993 0.4415  6 O 2.49-2.74
4 Sr 0.4928 0.4805 0.8657  5 O 2.47-2.67
5 Bi 0.2413 0.0006 0.7533  6 O 2.11-2.22
6 O 0.0505 0.4293 0.3328  1 Bi 2.15
7 O 0.1632 0.3018 0.8603  1 Bi 2.22
8 O 0.2130 0.8461 0.9510  1 Bi 2.11
9 O 0.2630 0.1874 0.5651  1 Bi 2.12
10 O 0.3197 0.8756 0.3242  3 Sr 2.47-2.59
11 O 0.3249 0.7096 0.6528  1 Bi 2.15
12 O 0.4611 0.5516 0.1596  1 Bi 2.17

Values from the calculation:
Raw formation energy   -2125 meV/atom
V   16.80 Å³ per atom
Total magnetization   0.09 μB/atom

# 11
A relaxed YMoI2N crystal, computed with PBE.

a = 6.1646 Å, b = 6.1646 Å, c = 4.1072 Å
α = 90.00°, β = 90.00°, γ = 90.00°
Last column: nearest neighbours and their distance in Å.
Space group P4/mmm (No. 123)
Inequivalent atoms, fractional coordinates:
1 Y 0.0000 0.0000 0.0000  2 N 2.05
2 Mo 0.5000 0.5000 0.5000  8 I 3.70, 2 Mo 4.11
3 I 0.0000 0.5000 0.0000  2 Y 3.08
4 N 0.0000 0.0000 0.5000  2 Y 2.05

Values from the calculation:
Raw formation energy   580 meV/atom
E above lowest polymorph   251.1 kJ/mol of formula units
V   31.22 Å³ per atom
Total magnetization   0.97 μB/atom

# 12
A relaxed La2AgHgPt crystal, computed with PBE.

a = 5.5914 Å, b = 5.5914 Å, c = 5.2160 Å
α = 90.00°, β = 90.00°, γ = 90.00°
Last column: nearest neighbours and their distance in Å.
Space group P4/mmm (No. 123)
Inequivalent atoms, fractional coordinates:
1 La 0.0000 0.5000 0.0000  2 Pt 2.80
2 Ag 0.0000 0.0000 0.5000  8 La 3.82, 4 Hg 3.95
3 Hg 0.5000 0.5000 0.5000  2 Pt 2.61
4 Pt 0.5000 0.5000 0.0000  2 Hg 2.61, 4 La 2.80

Values from the calculation:
E above lowest polymorph   161.3 kJ/mol of formula units
V   32.61 Å³ per atom
Total magnetization   0.00 μB/atom
ΔE_f   -336 meV per atom